1.
# ZrNbI2O | the Alexandria database | GGA-PBE | relaxed
data_ZrNbI2O
_symmetry_space_group_name_H-M 'P 4/m m m'
_symmetry_Int_Tables_number 123
_symmetry_space_group_name_Hall '-P 4 2'
_cell_length_a 5.866
_cell_length_b 5.866
_cell_length_c 3.976
_cell_angle_alpha 90.00
_cell_angle_beta 90.00
_cell_angle_gamma 90.00
loop_
_atom_site_label
_atom_site_fract_x
_atom_site_fract_y
_atom_site_fract_z
_atom_site_occupancy
Zr1 0.000 0.000 0.000 1
Nb1 0.500 0.500 0.500 1
I1 0.000 0.500 0.000 1
O1 0.000 0.000 0.500 1
# - E_form (uncorrected) (eV per formula unit) = -1.58
# - N(E_F) (states/eV per cell) = 3.40



2.
# Mn3Tl2S6 | the Alexandria database | GGA-PBE | relaxed
data_Mn3Tl2S6
_symmetry_space_group_name_H-M 'C 1 2/m 1'
_symmetry_Int_Tables_number 12
_symmetry_space_group_name_Hall '-C 2y'
_cell_length_a 5.984
_cell_length_b 10.358
_cell_length_c 7.893
_cell_angle_alpha 90.00
_cell_angle_beta 104.62
_cell_angle_gamma 90.00
loop_
_atom_site_label
_atom_site_fract_x
_atom_site_fract_y
_atom_site_fract_z
_atom_site_occupancy
Mn1 0.000 0.000 0.000 1
Mn2 0.000 0.332 0.000 1
Tl1 0.000 0.166 0.500 1
S1 0.223 0.500 0.170 1
S2 0.224 0.167 0.173 1
# - E_form (uncorrected) (eV per formula unit) = -5.51
# - N(E_F) (states/eV per cell) = 13.09



3.
# CoNiAsRu | the Alexandria database | GGA-PBE | relaxed
data_CoNiAsRu
_symmetry_space_group_name_H-M 'F -4 3 m'
_symmetry_Int_Tables_number 216
_symmetry_space_group_name_Hall 'F -4 2 3'
_cell_length_a 5.848
_cell_length_b 5.848
_cell_length_c 5.848
_cell_angle_alpha 90.00
_cell_angle_beta 90.00
_cell_angle_gamma 90.00
loop_
_atom_site_label
_atom_site_fract_x
_atom_site_fract_y
_atom_site_fract_z
_atom_site_occupancy
Co1 0.000 0.000 0.000 1
Ni1 0.250 0.250 0.750 1
As1 0.250 0.250 0.250 1
Ru1 0.000 0.000 0.500 1
# - N(E_F) (states/eV per cell) = 17.80
# - calculated formation energy (eV per atom) = 0.021



4.
# TbPrSe2 | the Alexandria database | GGA-PBE | relaxed
data_TbPrSe2
_symmetry_space_group_name_H-M 'P 63/m m c'
_symmetry_Int_Tables_number 194
_symmetry_space_group_name_Hall '-P 6c 2c'
_cell_length_a 4.1150
_cell_length_b 4.1150
_cell_length_c 14.1408
_cell_angle_alpha 90.00
_cell_angle_beta 90.00
_cell_angle_gamma 120.00
loop_
_atom_site_label
_atom_site_fract_x
_atom_site_fract_y
_atom_site_fract_z
_atom_site_occupancy
Tb1 0.0000 0.0000 0.0000 1
Pr1 0.3333 0.6667 0.2500 1
Se1 0.3333 0.6667 0.6167 1
# - E_form (uncorrected) (eV per formula unit) = -7.26
# - N(E_F) (states/eV per cell) = 3.28



5.
# NiAgSe2 | the Alexandria database | GGA-PBE | relaxed
data_NiAgSe2
_symmetry_space_group_name_H-M 'P 1 m 1'
_symmetry_Int_Tables_number 6
_symmetry_space_group_name_Hall 'P -2y'
_cell_length_a 3.812
_cell_length_b 3.903
_cell_length_c 5.851
_cell_angle_alpha 90.00
_cell_angle_beta 90.07
_cell_angle_gamma 90.00
loop_
_atom_site_label
_atom_site_fract_x
_atom_site_fract_y
_atom_site_fract_z
_atom_site_occupancy
Ni1 0.000 0.000 0.000 1
Ag1 0.001 0.500 0.659 1
Se1 0.000 0.500 0.212 1
Se2 0.500 0.000 0.767 1
# - E_form (uncorrected) (eV per formula unit) = -0.04
# - N(E_F) (states/eV per cell) = 4.16



6.
# V3Ru2Pt2 | the Alexandria database | GGA-PBE | relaxed
data_V3Ru2Pt2
_symmetry_space_group_name_H-M 'C m m m'
_symmetry_Int_Tables_number 65
_symmetry_space_group_name_Hall '-C 2 2'
_cell_length_a 3.936
_cell_length_b 18.999
_cell_length_c 2.688
_cell_angle_alpha 90.00
_cell_angle_beta 90.00
_cell_angle_gamma 90.00
loop_
_atom_site_label
_atom_site_fract_x
_atom_site_fract_y
_atom_site_fract_z
_atom_site_occupancy
V1 0.000 0.000 0.000 1
V2 0.000 0.150 0.000 1
Ru1 0.000 0.289 0.500 1
Pt1 0.000 0.429 0.500 1
# - N(E_F) (states/eV per cell) = 19.32
# - calculated formation energy (eV per atom) = -0.226



7.
# Cs6AuF | the Alexandria database | GGA-PBE | relaxed
data_Cs6AuF
_symmetry_space_group_name_H-M 'F m -3 m'
_symmetry_Int_Tables_number 225
_symmetry_space_group_name_Hall '-F 4 2 3'
_cell_length_a 13.612
_cell_length_b 13.612
_cell_length_c 13.612
_cell_angle_alpha 90.00
_cell_angle_beta 90.00
_cell_angle_gamma 90.00
loop_
_atom_site_label
_atom_site_fract_x
_atom_site_fract_y
_atom_site_fract_z
_atom_site_occupancy
Cs1 0.000 0.000 0.235 1
Au1 0.000 0.000 0.500 1
F1 0.000 0.000 0.000 1
# - E_form (uncorrected) (eV per formula unit) = -5.20
# - N(E_F) (states/eV per cell) = 25.04



8.
# TcW2Au | the Alexandria database | GGA-PBE | relaxed
data_TcW2Au
_symmetry_space_group_name_H-M 'I -4 m 2'
_symmetry_Int_Tables_number 119
_symmetry_space_group_name_Hall 'I -4 -2'
_cell_length_a 4.021
_cell_length_b 4.021
_cell_length_c 7.888
_cell_angle_alpha 90.00
_cell_angle_beta 90.00
_cell_angle_gamma 90.00
loop_
_atom_site_label
_atom_site_fract_x
_atom_site_fract_y
_atom_site_fract_z
_atom_site_occupancy
Tc1 0.000 0.000 0.000 1
W1 0.000 0.000 0.500 1
W2 0.000 0.500 0.250 1
Au1 0.000 0.500 0.750 1
# - N(E_F) (states/eV per cell) = 6.21
# - calculated formation energy (eV per atom) = 0.307



9.
# ZnSiTcRh2 | the Alexandria database | GGA-PBE | relaxed
data_ZnSiTcRh2
_symmetry_space_group_name_H-M 'P 4/m m m'
_symmetry_Int_Tables_number 123
_symmetry_space_group_name_Hall '-P 4 2'
_cell_length_a 4.476
_cell_length_b 4.476
_cell_length_c 4.565
_cell_angle_alpha 90.00
_cell_angle_beta 90.00
_cell_angle_gamma 90.00
loop_
_atom_site_label
_atom_site_fract_x
_atom_site_fract_y
_atom_site_fract_z
_atom_site_occupancy
Zn1 0.000 0.000 0.000 1
Si1 0.500 0.500 0.500 1
Tc1 0.000 0.000 0.500 1
Rh1 0.000 0.500 0.000 1
# - E_form (uncorrected) (eV per formula unit) = 6.44
# - N(E_F) (states/eV per cell) = 4.67



10.
# PmDy3O | the Alexandria database | GGA-PBE | relaxed
data_PmDy3O
_symmetry_space_group_name_H-M 'P m -3 m'
_symmetry_Int_Tables_number 221
_symmetry_space_group_name_Hall '-P 4 2 3'
_cell_length_a 4.963
_cell_length_b 4.963
_cell_length_c 4.963
_cell_angle_alpha 90.00
_cell_angle_beta 90.00
_cell_angle_gamma 90.00
loop_
_atom_site_label
_atom_site_fract_x
_atom_site_fract_y
_atom_site_fract_z
_atom_site_occupancy
Pm1 0.000 0.000 0.000 1
Dy1 0.000 0.500 0.500 1
O1 0.500 0.500 0.500 1
# - E_form (uncorrected) (eV per formula unit) = -5.40
# - N(E_F) (states/eV per cell) = 6.45



11.
# Nd3Ag3PdO8 | the Alexandria database | GGA-PBE | relaxed
data_Nd3Ag3PdO8
_symmetry_space_group_name_H-M 'R -3 m'
_symmetry_Int_Tables_number 166
_symmetry_space_group_name_Hall '-R 3 2"'
_cell_length_a 7.0843
_cell_length_b 7.0843
_cell_length_c 16.7355
_cell_angle_alpha 90.00
_cell_angle_beta 90.00
_cell_angle_gamma 120.00
loop_
_atom_site_label
_atom_site_fract_x
_atom_site_fract_y
_atom_site_fract_z
_atom_site_occupancy
Nd1 0.0000 0.5000 0.0000 1
Ag1 0.0000 0.5000 0.5000 1
Pd1 0.0000 0.0000 0.0000 1
O1 0.0000 0.0000 0.2690 1
O2 0.0417 0.5208 0.7324 1
# - E_form (uncorrected) (eV per formula unit) = -24.08



12.
# Li2SiRh | the Alexandria database | GGA-PBE | relaxed
data_Li2SiRh
_symmetry_space_group_name_H-M 'P 4/m m m'
_symmetry_Int_Tables_number 123
_symmetry_space_group_name_Hall '-P 4 2'
_cell_length_a 3.518
_cell_length_b 3.518
_cell_length_c 4.228
_cell_angle_alpha 90.00
_cell_angle_beta 90.00
_cell_angle_gamma 90.00
loop_
_atom_site_label
_atom_site_fract_x
_atom_site_fract_y
_atom_site_fract_z
_atom_site_occupancy
Li1 0.000 0.500 0.000 1
Si1 0.000 0.000 0.500 1
Rh1 0.500 0.500 0.500 1
# - E_form (uncorrected) (eV per formula unit) = -1.65
# - N(E_F) (states/eV per cell) = 2.06



13.
# Rb2InAu3 | the Alexandria database | GGA-PBE | relaxed
data_Rb2InAu3
_symmetry_space_group_name_H-M 'I m m m'
_symmetry_Int_Tables_number 71
_symmetry_space_group_name_Hall '-I 2 2'
_cell_length_a 4.966
_cell_length_b 6.296
_cell_length_c 13.232
_cell_angle_alpha 90.00
_cell_angle_beta 90.00
_cell_angle_gamma 90.00
loop_
_atom_site_label
_atom_site_fract_x
_atom_site_fract_y
_atom_site_fract_z
_atom_site_occupancy
Rb1 0.000 0.000 0.185 1
In1 0.000 0.000 0.500 1
Au1 0.000 0.500 0.108 1
Au2 0.000 0.500 0.500 1
# - N(E_F) (states/eV per cell) = 4.39
# - calculated formation energy (eV per atom) = -0.151



14.
# Rb2PrThTe4 | the Alexandria database | GGA-PBE | relaxed
data_Rb2PrThTe4
_symmetry_space_group_name_H-M 'P 1 2/m 1'
_symmetry_Int_Tables_number 10
_symmetry_space_group_name_Hall '-P 2y'
_cell_length_a 7.953
_cell_length_b 4.587
_cell_length_c 9.074
_cell_angle_alpha 90.00
_cell_angle_beta 106.89
_cell_angle_gamma 90.00
loop_
_atom_site_label
_atom_site_fract_x
_atom_site_fract_y
_atom_site_fract_z
_atom_site_occupancy
Rb1 0.000 0.000 0.000 1
Rb2 0.500 0.500 0.000 1
Pr1 0.000 0.500 0.500 1
Th1 0.500 0.000 0.500 1
Te1 0.242 0.000 0.709 1
Te2 0.269 0.500 0.292 1
# - E_form (uncorrected) (eV per formula unit) = -10.29
# - N(E_F) (states/eV per cell) = 4.38



15.
# Pm3AlAu2 | the Alexandria database | GGA-PBE | relaxed
data_Pm3AlAu2
_symmetry_space_group_name_H-M 'P 4/m m m'
_symmetry_Int_Tables_number 123
_symmetry_space_group_name_Hall '-P 4 2'
_cell_length_a 3.672
_cell_length_b 3.672
_cell_length_c 11.232
_cell_angle_alpha 90.00
_cell_angle_beta 90.00
_cell_angle_gamma 90.00
loop_
_atom_site_label
_atom_site_fract_x
_atom_site_fract_y
_atom_site_fract_z
_atom_site_occupancy
Pm1 0.000 0.000 0.000 1
Pm2 0.000 0.000 0.331 1
Al1 0.500 0.500 0.500 1
Au1 0.500 0.500 0.170 1
# - N(E_F) (states/eV per cell) = 4.07
# - calculated formation energy (eV per atom) = -0.642



16.
# MgAl2Au4 | the Alexandria database | GGA-PBE | relaxed
data_MgAl2Au4
_symmetry_space_group_name_H-M 'C m c m'
_symmetry_Int_Tables_number 63
_symmetry_space_group_name_Hall '-C 2c 2'
_cell_length_a 4.552
_cell_length_b 7.879
_cell_length_c 13.625
_cell_angle_alpha 90.00
_cell_angle_beta 90.00
_cell_angle_gamma 90.00
loop_
_atom_site_label
_atom_site_fract_x
_atom_site_fract_y
_atom_site_fract_z
_atom_site_occupancy
Mg1 0.000 0.001 0.250 1
Al1 0.000 0.334 0.061 1
Au1 0.000 0.000 0.000 1
Au2 0.000 0.333 0.635 1
Au3 0.000 0.334 0.250 1
# - N(E_F) (states/eV per cell) = 6.07
# - calculated formation energy (eV per atom) = -0.401



17.
# AcPm2Rh | the Alexandria database | GGA-PBE | relaxed
data_AcPm2Rh
_symmetry_space_group_name_H-M 'P 4/m m m'
_symmetry_Int_Tables_number 123
_symmetry_space_group_name_Hall '-P 4 2'
_cell_length_a 3.649
_cell_length_b 3.649
_cell_length_c 9.199
_cell_angle_alpha 90.00
_cell_angle_beta 90.00
_cell_angle_gamma 90.00
loop_
_atom_site_label
_atom_site_fract_x
_atom_site_fract_y
_atom_site_fract_z
_atom_site_occupancy
Ac1 0.000 0.000 0.000 1
Pm1 0.500 0.500 0.322 1
Rh1 0.000 0.000 0.500 1
# - N(E_F) (states/eV per cell) = 4.58
# - calculated formation energy (eV per atom) = -0.301



18.
# Tb7Cd2Ag2 | the Alexandria database | GGA-PBE | relaxed
data_Tb7Cd2Ag2
_symmetry_space_group_name_H-M 'C m m m'
_symmetry_Int_Tables_number 65
_symmetry_space_group_name_Hall '-C 2 2'
_cell_length_a 7.901
_cell_length_b 11.142
_cell_length_c 7.529
_cell_angle_alpha 90.00
_cell_angle_beta 90.00
_cell_angle_gamma 90.00
loop_
_atom_site_label
_atom_site_fract_x
_atom_site_fract_y
_atom_site_fract_z
_atom_site_occupancy
Tb1 0.000 0.000 0.000 1
Tb2 0.000 0.500 0.258 1
Tb3 0.250 0.250 0.275 1
Cd1 0.174 0.000 0.500 1
Ag1 0.000 0.294 0.000 1
# - N(E_F) (states/eV per cell) = 24.55
# - calculated formation energy (eV per atom) = 0.037



19.
# TbNdErSc | the Alexandria database | GGA-PBE | relaxed
data_TbNdErSc
_symmetry_space_group_name_H-M 'R 3 m'
_symmetry_Int_Tables_number 160
_symmetry_space_group_name_Hall 'R 3 -2"'
_cell_length_a 3.5275
_cell_length_b 3.5275
_cell_length_c 33.9119
_cell_angle_alpha 90.00
_cell_angle_beta 90.00
_cell_angle_gamma 120.00
loop_
_atom_site_label
_atom_site_fract_x
_atom_site_fract_y
_atom_site_fract_z
_atom_site_occupancy
Tb1 0.0000 0.0000 0.0000 1
Nd1 0.0000 0.0000 0.8287 1
Er1 0.0000 0.0000 0.5826 1
Sc1 0.0000 0.0000 0.4130 1
# - N(E_F) (states/eV per cell) = 17.52
# - calculated formation energy (eV per atom) = 0.054



20.
# Be2RhPb | the Alexandria database | GGA-PBE | relaxed
data_Be2RhPb
_symmetry_space_group_name_H-M 'I 4/m m m'
_symmetry_Int_Tables_number 139
_symmetry_space_group_name_Hall '-I 4 2'
_cell_length_a 3.901
_cell_length_b 3.901
_cell_length_c 7.452
_cell_angle_alpha 90.00
_cell_angle_beta 90.00
_cell_angle_gamma 90.00
loop_
_atom_site_label
_atom_site_fract_x
_atom_site_fract_y
_atom_site_fract_z
_atom_site_occupancy
Be1 0.000 0.500 0.250 1
Rh1 0.000 0.000 0.000 1
Pb1 0.000 0.000 0.500 1
# - N(E_F) (states/eV per cell) = 2.07
# - calculated formation energy (eV per atom) = 0.242